{
  "formula": "Os3Pd",
  "functional": "PBE-GGA",
  "state": "optimized geometry",
  "e_form_mev_per_atom": 224,
  "magnetic_moment_mub_per_cell": 0.00,
  "dos_at_fermi_per_ev_atom": 0.741,
  "lattice_angstrom": [[2.767, 0.000, 0.000], [0.000, 4.383, 0.000], [0.000, 0.000, 4.767]],
  "species": ["Os", "Os", "Os", "Pd"],
  "fractional_positions": [[0.000, 0.500, 0.334], [0.500, 0.000, 0.501], [0.500, 0.500, 0.828], [0.000, 0.000, 0.002]]
}